Entry A
Compound: PrGdSn
Source: Alexandria via LeMat-Bulk
Functional: PBE
Structure: relaxed

a b c (Å): 5.4021 5.4021 3.3546
angles (deg): 90.00 90.00 120.00
Sites, in units of the cell vectors:
Pr1 0.0000 0.0000 0.0000
Gd1 0.3333 0.6667 0.9908
Sn1 0.6667 0.3333 0.4939

Results
Fermi-level density of states (states/eV/cell): 4.122

---

Entry B
Compound: PrGdSn
Source: Alexandria via LeMat-Bulk
Functional: PBE
Structure: relaxed

a b c (Å): 5.2773 5.2773 5.2773
angles (deg): 60.00 60.00 60.00
Sites, in units of the cell vectors:
Pr1 0.0000 0.0000 0.0000
Gd1 0.5000 0.5000 0.5000
Sn1 0.2500 0.2500 0.2500

Results
Fermi-level density of states (states/eV/cell): 4.569

---

Entry C
Compound: PrGdSn
Source: Alexandria via LeMat-Bulk
Functional: PBE
Structure: relaxed

a b c (Å): 5.8758 5.8758 5.8758
angles (deg): 138.32 138.32 60.41
Sites, in units of the cell vectors:
Pr1 0.0000 0.0000 0.0000
Gd1 0.6925 0.6925 0.0000
Sn1 0.3410 0.3410 0.0000

Results
Fermi-level density of states (states/eV/cell): 3.302

---

Least stable structure: entry A

---

Entry A
Compound: SrPr2Gd
Source: Alexandria via LeMat-Bulk
Functional: PBE
Structure: relaxed

a b c (Å): 13.3530 13.3530 13.3530
angles (deg): 15.92 15.92 15.92
Sites, in units of the cell vectors:
Sr1 0.0000 0.0000 0.0000
Pr1 0.0929 0.0929 0.0929
Pr2 0.9071 0.9071 0.9071
Gd1 0.5000 0.5000 0.5000

Results
Fermi-level density of states (states/eV/cell): 6.663

---

Entry B
Compound: SrPr2Gd
Source: Alexandria via LeMat-Bulk
Functional: PBE
Structure: relaxed

a b c (Å): 6.0016 6.0016 6.0016
angles (deg): 60.00 60.00 60.00
Sites, in units of the cell vectors:
Sr1 0.0000 0.0000 0.0000
Pr1 0.2500 0.2500 0.2500
Pr2 0.7500 0.7500 0.7500
Gd1 0.5000 0.5000 0.5000

Results
Fermi-level density of states (states/eV/cell): 8.456

---

Least stable structure: entry B

---

Entry A
Compound: SrPr2Gd
Source: Alexandria via LeMat-Bulk
Functional: PBE
Structure: relaxed

a b c (Å): 3.7710 3.7710 10.7949
angles (deg): 90.00 90.00 90.00
Sites, in units of the cell vectors:
Sr1 0.0000 0.0000 0.0000
Pr1 0.5000 0.5000 0.2758
Pr2 0.5000 0.5000 0.7242
Gd1 0.0000 0.0000 0.5000

Results
Fermi-level density of states (states/eV/cell): 5.966

---

Entry B
Compound: SrPr2Gd
Source: Alexandria via LeMat-Bulk
Functional: PBE
Structure: relaxed

a b c (Å): 5.3482 5.3482 5.3064
angles (deg): 90.00 90.00 90.00
Sites, in units of the cell vectors:
Sr1 0.0000 0.0000 0.0000
Pr1 0.0000 0.5000 0.5000
Pr2 0.5000 0.0000 0.5000
Gd1 0.5000 0.5000 0.0000

Results
Fermi-level density of states (states/eV/cell): 7.153

---

Least stable structure: entry B

---

Entry A
Compound: SrPrGd2
Source: Alexandria via LeMat-Bulk
Functional: PBE
Structure: relaxed

a b c (Å): 3.7356 3.7356 10.7682
angles (deg): 90.00 90.00 90.00
Sites, in units of the cell vectors:
Sr1 0.0000 0.0000 0.0000
Pr1 0.0000 0.0000 0.5000
Gd1 0.5000 0.5000 0.2754
Gd2 0.5000 0.5000 0.7246

Results
Fermi-level density of states (states/eV/cell): 7.330

---

Entry B
Compound: SrPrGd2
Source: Alexandria via LeMat-Bulk
Functional: PBE
Structure: relaxed

a b c (Å): 13.0944 13.0944 13.0944
angles (deg): 16.11 16.11 16.11
Sites, in units of the cell vectors:
Sr1 0.0000 0.0000 0.0000
Pr1 0.5000 0.5000 0.5000
Gd1 0.0916 0.0916 0.0916
Gd2 0.9084 0.9084 0.9084

Results
Fermi-level density of states (states/eV/cell): 5.969

---

Least stable structure: entry B

---

Entry A
Compound: TbPrGd2
Source: Alexandria via LeMat-Bulk
Functional: PBE
Structure: relaxed

a b c (Å): 11.9775 11.9775 11.9775
angles (deg): 17.33 17.33 17.33
Sites, in units of the cell vectors:
Tb1 0.0000 0.0000 0.0000
Pr1 0.5000 0.5000 0.5000
Gd1 0.2514 0.2514 0.2514
Gd2 0.7486 0.7486 0.7486

Results
Fermi-level density of states (states/eV/cell): 6.622

---

Entry B
Compound: TbPrGd2
Source: Alexandria via LeMat-Bulk
Functional: PBE
Structure: relaxed

a b c (Å): 5.7362 5.7362 5.7362
angles (deg): 60.00 60.00 60.00
Sites, in units of the cell vectors:
Tb1 0.0000 0.0000 0.0000
Pr1 0.5000 0.5000 0.5000
Gd1 0.2500 0.2500 0.2500
Gd2 0.7500 0.7500 0.7500

Results
Fermi-level density of states (states/eV/cell): 6.764

---

Least stable structure: entry B

---

Entry A
Compound: TbPrGd
Source: Alexandria via LeMat-Bulk
Functional: PBE
Structure: relaxed

a b c (Å): 6.4457 6.4457 6.4457
angles (deg): 141.82 141.82 55.10
Sites, in units of the cell vectors:
Tb1 0.0000 0.0000 0.0000
Pr1 0.3278 0.3278 0.0000
Gd1 0.6560 0.6560 0.0000

Results
Fermi-level density of states (states/eV/cell): 5.984

---

Entry B
Compound: TbPrGd
Source: Alexandria via LeMat-Bulk
Functional: PBE
Structure: relaxed

a b c (Å): 3.6282 3.6282 8.8393
angles (deg): 90.00 90.00 120.00
Sites, in units of the cell vectors:
Tb1 0.0000 0.0000 0.0000
Pr1 0.3333 0.6667 0.6659
Gd1 0.6667 0.3333 0.3270

Results
Fermi-level density of states (states/eV/cell): 4.671

---

Least stable structure: entry A

---

Entry A
Compound: PrGdTe
Source: Alexandria via LeMat-Bulk
Functional: PBE
Structure: relaxed

a b c (Å): 5.2516 5.2516 4.1013
angles (deg): 90.00 90.00 120.00
Sites, in units of the cell vectors:
Pr1 0.0000 0.0000 0.0000
Gd1 0.3333 0.6667 0.5051
Te1 0.6667 0.3333 0.6355

Results
Fermi-level density of states (states/eV/cell): 3.844

---

Entry B
Compound: PrGdTe
Source: Alexandria via LeMat-Bulk
Functional: PBE
Structure: relaxed

a b c (Å): 6.5585 6.5585 6.5585
angles (deg): 144.69 144.69 50.80
Sites, in units of the cell vectors:
Pr1 0.0000 0.0000 0.0000
Gd1 0.6956 0.6956 0.0000
Te1 0.3355 0.3355 0.0000

Results
Fermi-level density of states (states/eV/cell): 3.003

---

Least stable structure: entry A

---

Entry A
Compound: PrGdTh2
Source: Alexandria via LeMat-Bulk
Functional: PBE
Structure: relaxed

a b c (Å): 5.7178 5.7178 5.7178
angles (deg): 60.00 60.00 60.00
Sites, in units of the cell vectors:
Pr1 0.0000 0.0000 0.0000
Gd1 0.5000 0.5000 0.5000
Th1 0.2500 0.2500 0.2500
Th2 0.7500 0.7500 0.7500

Results
Fermi-level density of states (states/eV/cell): 7.407

---

Entry B
Compound: PrGdTh2
Source: Alexandria via LeMat-Bulk
Functional: PBE
Structure: relaxed

a b c (Å): 12.6823 12.6823 12.6823
angles (deg): 15.97 15.97 15.97
Sites, in units of the cell vectors:
Pr1 0.0000 0.0000 0.0000
Gd1 0.5000 0.5000 0.5000
Th1 0.0884 0.0884 0.0884
Th2 0.9116 0.9116 0.9116

Results
Fermi-level density of states (states/eV/cell): 6.036

---

Entry C
Compound: PrGdTh2
Source: Alexandria via LeMat-Bulk
Functional: PBE
Structure: relaxed

a b c (Å): 5.0389 5.0389 5.1927
angles (deg): 90.00 90.00 90.00
Sites, in units of the cell vectors:
Pr1 0.0000 0.0000 0.0000
Gd1 0.5000 0.5000 0.0000
Th1 0.0000 0.5000 0.5000
Th2 0.5000 0.0000 0.5000

Results
Fermi-level density of states (states/eV/cell): 6.404

---

Least stable structure: entry B

---

Entry A
Compound: PrGd2Th
Source: Alexandria via LeMat-Bulk
Functional: PBE
Structure: relaxed

a b c (Å): 5.7465 5.7465 5.7465
angles (deg): 60.00 60.00 60.00
Sites, in units of the cell vectors:
Pr1 0.0000 0.0000 0.0000
Gd1 0.2500 0.2500 0.2500
Gd2 0.7500 0.7500 0.7500
Th1 0.5000 0.5000 0.5000

Results
Fermi-level density of states (states/eV/cell): 7.704

---

Entry B
Compound: PrGd2Th
Source: Alexandria via LeMat-Bulk
Functional: PBE
Structure: relaxed

a b c (Å): 12.6161 12.6161 12.6161
angles (deg): 16.16 16.16 16.16
Sites, in units of the cell vectors:
Pr1 0.0000 0.0000 0.0000
Gd1 0.0921 0.0921 0.0921
Gd2 0.9079 0.9079 0.9079
Th1 0.5000 0.5000 0.5000

Results
Fermi-level density of states (states/eV/cell): 5.345

---

Least stable structure: entry A

---

Entry A
Compound: PrGd2Th
Source: Alexandria via LeMat-Bulk
Functional: PBE
Structure: relaxed

a b c (Å): 3.5961 3.5961 10.2775
angles (deg): 90.00 90.00 90.00
Sites, in units of the cell vectors:
Pr1 0.0000 0.0000 0.0000
Gd1 0.5000 0.5000 0.2625
Gd2 0.5000 0.5000 0.7375
Th1 0.0000 0.0000 0.5000

Results
Fermi-level density of states (states/eV/cell): 6.205

---

Entry B
Compound: PrGd2Th
Source: Alexandria via LeMat-Bulk
Functional: PBE
Structure: relaxed

a b c (Å): 5.1013 5.1013 5.0955
angles (deg): 90.00 90.00 90.00
Sites, in units of the cell vectors:
Pr1 0.0000 0.0000 0.0000
Gd1 0.0000 0.5000 0.5000
Gd2 0.5000 0.0000 0.5000
Th1 0.5000 0.5000 0.0000

Results
Fermi-level density of states (states/eV/cell): 5.234

---

Least stable structure: entry B

---

Entry A
Compound: Pr2GdTl
Source: Alexandria via LeMat-Bulk
Functional: PBE
Structure: relaxed

a b c (Å): 5.7113 5.7113 3.8773
angles (deg): 90.00 90.00 90.00
Sites, in units of the cell vectors:
Pr1 0.0000 0.5000 0.0000
Pr2 0.5000 0.0000 0.0000
Gd1 0.0000 0.0000 0.5000
Tl1 0.5000 0.5000 0.5000

Results
Fermi-level density of states (states/eV/cell): 5.837

---

Entry B
Compound: Pr2GdTl
Source: Alexandria via LeMat-Bulk
Functional: PBE
Structure: relaxed

a b c (Å): 5.6215 5.6215 5.6215
angles (deg): 60.00 60.00 60.00
Sites, in units of the cell vectors:
Pr1 0.2500 0.2500 0.2500
Pr2 0.7500 0.7500 0.7500
Gd1 0.0000 0.0000 0.0000
Tl1 0.5000 0.5000 0.5000

Results
Fermi-level density of states (states/eV/cell): 5.820

---

Least stable structure: entry B

---

Entry A
Compound: PrGd2Tl
Source: Alexandria via LeMat-Bulk
Functional: PBE
Structure: relaxed

a b c (Å): 5.5460 5.5460 5.5460
angles (deg): 60.00 60.00 60.00
Sites, in units of the cell vectors:
Pr1 0.0000 0.0000 0.0000
Gd1 0.2500 0.2500 0.2500
Gd2 0.7500 0.7500 0.7500
Tl1 0.5000 0.5000 0.5000

Results
Fermi-level density of states (states/eV/cell): 6.399

---

Entry B
Compound: PrGd2Tl
Source: Alexandria via LeMat-Bulk
Functional: PBE
Structure: relaxed

a b c (Å): 4.9394 4.9394 4.9425
angles (deg): 90.00 90.00 90.00
Sites, in units of the cell vectors:
Pr1 0.0000 0.0000 0.0000
Gd1 0.0000 0.5000 0.5000
Gd2 0.5000 0.0000 0.5000
Tl1 0.5000 0.5000 0.0000

Results
Fermi-level density of states (states/eV/cell): 4.051

---

Least stable structure: entry A